# 1
# SrTa2Mn (meta-GGA SCAN, single point on PBEsol structure)
data_SrTa2Mn
_symmetry_space_group_name_H-M 'I m m m'
_symmetry_Int_Tables_number 71
_symmetry_space_group_name_Hall '-I 2 2'
_cell_length_a 2.943
_cell_length_b 5.231
_cell_length_c 10.189
_cell_angle_alpha 90.00
_cell_angle_beta 90.00
_cell_angle_gamma 90.00
loop_
_atom_site_label
_atom_site_type_symbol
_atom_site_fract_x
_atom_site_fract_y
_atom_site_fract_z
Sr1 Sr 0.000 0.000 0.000
Ta1 Ta 0.000 0.500 0.199
Mn1 Mn 0.000 0.000 0.500
# Excess energy over the best structure of this formula in the dataset ... 0.1812 eV/atom

---

# 2
The following is a meta-GGA SCAN calculation of SrTaMnW2 at its PBEsol-relaxed geometry, from Alexandria.

CIF file:
```
data_SrTaMnW2
_symmetry_space_group_name_H-M 'P 4/m m m'
_symmetry_Int_Tables_number 123
_symmetry_space_group_name_Hall '-P 4 2'
_cell_length_a 4.710
_cell_length_b 4.710
_cell_length_c 4.768
_cell_angle_alpha 90.00
_cell_angle_beta 90.00
_cell_angle_gamma 90.00
loop_
_atom_site_label
_atom_site_type_symbol
_atom_site_fract_x
_atom_site_fract_y
_atom_site_fract_z
Sr1 Sr 0.000 0.000 0.000
Ta1 Ta 0.000 0.000 0.500
Mn1 Mn 0.500 0.500 0.500
W1 W 0.000 0.500 0.000
```

---

# 3
The following is a meta-GGA SCAN calculation of Sr2MnTc at its PBEsol-relaxed geometry, from Alexandria.

CIF file:
```
data_Sr2MnTc
_symmetry_space_group_name_H-M 'F m -3 m'
_symmetry_Int_Tables_number 225
_symmetry_space_group_name_Hall '-F 4 2 3'
_cell_length_a 7.419
_cell_length_b 7.419
_cell_length_c 7.419
_cell_angle_alpha 90.00
_cell_angle_beta 90.00
_cell_angle_gamma 90.00
loop_
_atom_site_label
_atom_site_type_symbol
_atom_site_fract_x
_atom_site_fract_y
_atom_site_fract_z
Sr1 Sr 0.250 0.250 0.250
Mn1 Mn 0.000 0.000 0.000
Tc1 Tc 0.000 0.000 0.500
```

---

Listing total DFT energy (no corrections) for the structures above in their given order: -42.692, -45.776, -23.644 eV per atom.
Listing energy of formation for the structures above in their given order: 283, 1699, 317 kJ/mol of formula units.
Listing magnetic moment for the structures above in their given order: 1.56, 4.40, 7.03 μB/f.u..